Here is crystalline KAsCl2 at its relaxed geometry from the Alexandria database. Energies are from GGA-PBE.

Summary:
SG   No. 122
E   -2.98 eV per atom
Formation energy (no corrections)   -623 meV/atom

a = 5.717 Å, b = 5.717 Å, c = 9.168 Å
α = 71.83°, β = 71.83°, γ = 90.00°
Fractional coordinates of all 8 atoms:
1 As 0.000 0.000 0.000
2 As 0.750 0.250 0.500
3 K 0.500 0.500 0.000
4 K 0.250 0.750 0.500
5 Cl 0.711 0.125 0.250
6 Cl 0.039 0.625 0.250
7 Cl 0.375 0.289 0.750
8 Cl 0.875 0.961 0.750